(1)
Entry from Alexandria: an optimized crystal structure of Ca6As2PI3 (PBE).

Lattice parameters (Å, degrees): 7.566 7.566 7.911 99.18 99.18 120.00
Positions (direct):
I1 0.833 0.167 0.500
I2 0.167 0.833 0.500
I3 0.500 0.500 0.500
P1 0.000 0.000 0.000
As1 0.333 0.667 0.000
As2 0.667 0.333 0.000
Ca1 0.264 0.264 0.808
Ca2 0.936 0.608 0.808
Ca3 0.392 0.064 0.192
Ca4 0.736 0.736 0.192
Ca5 0.608 0.936 0.808
Ca6 0.064 0.392 0.192

Computed properties:
- V (Å³/f.u.) = 371.7
- M_tot (Bohr magnetons per cell) = 0.00
- crystal system = monoclinic
- uncorrected formation energy (eV/f.u.) = -16.86

=====

(2)
Entry from Alexandria: an optimized crystal structure of CsNaCd2Ga (PBE).

Lattice parameters (Å, degrees): 5.511 5.511 5.900 90.00 90.00 90.00
Positions (direct):
Cs1 0.500 0.500 0.500
Na1 0.000 0.000 0.500
Cd1 0.000 0.500 0.000
Cd2 0.500 0.000 0.000
Ga1 0.000 0.000 0.000

Computed properties:
- energy of formation (eV per atom) = -0.01
- V (Å³/f.u.) = 179.2
- M_tot (Bohr magnetons per cell) = 0.00
- crystal system = tetragonal

=====

(3)
Entry from Alexandria: an optimized crystal structure of ErTmPd2 (PBE).

Lattice parameters (Å, degrees): 3.412 4.945 4.945 90.00 90.00 90.00
Positions (direct):
Tm1 0.500 0.000 0.000
Pd1 0.000 0.500 0.000
Pd2 0.000 0.000 0.500
Er1 0.500 0.500 0.500

Computed properties:
- energy of formation (eV per atom) = -0.93
- V (Å³/f.u.) = 83.4
- M_tot (Bohr magnetons per cell) = 0.00
- excess energy over the best structure of this formula in the dataset (meV/atom) = 15
- crystal system = tetragonal

=====

(4)
Entry from Alexandria: an optimized crystal structure of BaTl2TcRh (PBE).

Lattice parameters (Å, degrees): 5.279 5.807 5.279 90.00 90.00 90.00
Each line ends with the local moment (μB).
Positions (direct):
Rh1 0.000 0.000 0.000  0.04
Tl1 0.000 0.000 0.500  -0.02
Tl2 0.500 0.000 0.000  0.00
Ba1 0.000 0.500 0.000  -0.02
Tc1 0.500 0.500 0.500  3.31

Computed properties:
- energy of formation (eV per atom) = 0.76
- V (Å³/f.u.) = 161.9
- M_tot (Bohr magnetons per cell) = 3.73
- crystal system = tetragonal

=====

(5)
Entry from Alexandria: an optimized crystal structure of RbIr3Au (PBE).

Lattice parameters (Å, degrees): 4.829 4.829 4.829 90.00 90.00 90.00
Each line ends with the local moment (μB).
Positions (direct):
Ir1 0.500 0.000 0.000  0.63
Ir2 0.000 0.500 0.000  0.76
Ir3 0.000 0.000 0.500  0.63
Rb1 0.000 0.000 0.000  0.00
Au1 0.500 0.500 0.500  0.00

Computed properties:
- energy of formation (eV per atom) = 3.30
- V (Å³/f.u.) = 112.6
- M_tot (Bohr magnetons per cell) = 2.00
- excess energy over the best structure of this formula in the dataset (meV/atom) = 1361
- crystal system = cubic

=====

(6)
Entry from Alexandria: an optimized crystal structure of Sr2MoPb (PBE).

Lattice parameters (Å, degrees): 6.596 6.596 5.542 65.12 65.12 36.20
Each line ends with the local moment (μB).
Positions (direct):
Pb1 0.213 0.213 0.287  -0.05
Mo1 0.541 0.541 0.459  1.91
Sr1 0.769 0.769 0.732  0.00
Sr2 0.977 0.977 0.022  -0.01

Computed properties:
- energy of formation (eV per atom) = 0.45
- V (Å³/f.u.) = 127.7
- M_tot (Bohr magnetons per cell) = 2.25
- crystal system = orthorhombic

=====

(7)
Entry from Alexandria: an optimized crystal structure of AlTe2C (PBE).

Lattice parameters (Å, degrees): 7.465 7.465 7.465 33.87 33.87 33.87
Positions (direct):
Al1 0.500 0.500 0.500
Te1 0.093 0.093 0.093
Te2 0.907 0.907 0.907
C1 0.000 0.000 0.000

Computed properties:
- V (Å³/f.u.) = 115.1
- M_tot (Bohr magnetons per cell) = 0.00
- excess energy over the best structure of this formula in the dataset (meV/atom) = 68
- crystal system = trigonal
- uncorrected formation energy (eV/f.u.) = 4.16

=====

(8)
Entry from Alexandria: an optimized crystal structure of BCl (PBE).

Lattice parameters (Å, degrees): 5.155 5.155 5.155 90.00 90.00 90.00
Positions (direct):
Cl1 0.500 0.000 0.000
Cl2 0.500 0.500 0.500
Cl3 0.000 0.500 0.000
Cl4 0.000 0.000 0.500
B1 0.500 0.000 0.500
B2 0.500 0.500 0.000
B3 0.000 0.000 0.000
B4 0.000 0.500 0.500

Computed properties:
- V (Å³/f.u.) = 34.2
- M_tot (Bohr magnetons per cell) = 0.00
- excess energy over the best structure of this formula in the dataset (meV/atom) = 2174
- crystal system = cubic
- uncorrected formation energy (eV/f.u.) = 3.07

=====

Copy entry 2 word for word.
Entry from Alexandria: an optimized crystal structure of CsNaCd2Ga (PBE).

Lattice parameters (Å, degrees): 5.511 5.511 5.900 90.00 90.00 90.00
Positions (direct):
Cs1 0.500 0.500 0.500
Na1 0.000 0.000 0.500
Cd1 0.000 0.500 0.000
Cd2 0.500 0.000 0.000
Ga1 0.000 0.000 0.000

Computed properties:
- energy of formation (eV per atom) = -0.01
- V (Å³/f.u.) = 179.2
- M_tot (Bohr magnetons per cell) = 0.00
- crystal system = tetragonal